1.
ThGa2Ag3 after structural relaxation, computed with PBE.

The structure belongs to space group C2/m (No. 12); the cell edges are 16.352, 4.323 and 7.774 Å and the angles 90.00°, 116.99° and 90.00°. The asymmetric unit holds Th at (0.144, 0.000, 0.065), Ga at (0.020, 0.500, 0.169), Ga at (0.205, 0.000, 0.727), Ag at (0.044, 0.000, 0.382), Ag at (0.103, 0.500, 0.701) and Ag at (0.187, 0.500, 0.450).

The value obtained for the uncorrected energy is -3.9044 eV per atom. The energy relative to the elements comes out at -0.23 eV/atom. As for the calculated volume: 489.7 Å³/cell.

2.
Ni2P5 after structural relaxation, computed with PBE.

The structure belongs to space group P-1 (No. 2); the cell edges are 5.306, 6.164 and 7.695 Å and the angles 108.49°, 102.06° and 91.38°. The asymmetric unit holds Ni at (0.214, 0.167, 0.221), Ni at (0.284, 0.331, 0.775), P at (0.096, 0.805, 0.225), P at (0.151, 0.397, 0.500), P at (0.167, 0.816, 0.961), P at (0.463, 0.333, 0.075) and P at (0.492, 0.952, 0.348).

The value obtained for the uncorrected energy is -5.6625 eV per atom. The energy relative to the elements comes out at -0.15 eV/atom. As for the calculated volume: 232.3 Å³/cell.

3.
OsRu after structural relaxation, computed with PBE.

The structure belongs to space group I4/m (No. 87); the cell edges are 10.030, 10.030 and 3.830 Å and the angles 90.00°, 90.00° and 90.00°. The asymmetric unit holds Os at (0.110, 0.310, 0.000) and Ru at (0.123, 0.735, 0.000).

The value obtained for the uncorrected energy is -8.7592 eV per atom. The energy relative to the elements comes out at 1.49 eV/atom. As for the calculated volume: 385.3 Å³/cell.

4.
Sc2CrInAg after structural relaxation, computed with PBE.

The structure belongs to space group P4/mmm (No. 123); the cell edges are 5.131, 5.131 and 4.937 Å and the angles 90.00°, 90.00° and 90.00°. The asymmetric unit holds Sc at (0.000, 0.500, 0.000), Cr at (0.000, 0.000, 0.500), In at (0.500, 0.500, 0.500) and Ag at (0.000, 0.000, 0.000).

The value obtained for the uncorrected energy is -5.0318 eV per atom. The energy relative to the elements comes out at 0.54 eV/atom. As for the calculated volume: 130.0 Å³/cell.

5.
MgBeV after structural relaxation, computed with PBE.

The structure belongs to space group P-1 (No. 2); the cell edges are 2.788, 5.184 and 6.495 Å and the angles 110.19°, 91.50° and 103.21°. The asymmetric unit holds Mg at (0.155, 0.316, 0.110), Be at (0.189, 0.367, 0.547) and V at (0.465, 0.027, 0.674).

The calculation puts the distance to the lowest polymorph of the same formula at 160.4 meV/atom. The value obtained for the uncorrected energy is -4.5644 eV per atom. The energy relative to the elements comes out at 0.25 eV/atom. As for the calculated volume: 85.2 Å³/cell.

6.
PmDy12Sc2 after structural relaxation, computed with PBE.

The structure belongs to space group P2/m (No. 10); the cell edges are 3.557, 4.824 and 27.623 Å and the angles 90.00°, 93.69° and 90.00°. The asymmetric unit holds Pm at (0.000, 0.000, 0.000), Dy at (0.064, 0.000, 0.132), Dy at (0.189, 0.000, 0.382), Dy at (0.277, 0.500, 0.553), Dy at (0.343, 0.500, 0.679), Dy at (0.404, 0.500, 0.803), Dy at (0.467, 0.500, 0.933) and Sc at (0.126, 0.000, 0.259).

The value obtained for the uncorrected energy is -4.7259 eV per atom. The energy relative to the elements comes out at 0.12 eV/atom. As for the calculated volume: 473.1 Å³/cell.

7.
LiAc2ErS4 after structural relaxation, computed with PBE.

The structure belongs to space group P2/m (No. 10); the cell edges are 7.054, 4.105 and 7.100 Å and the angles 90.00°, 109.58° and 90.00°. The asymmetric unit holds Li at (0.000, 0.000, 0.000), Ac at (0.500, 0.000, 0.500), Ac at (0.500, 0.500, 0.000), Er at (0.000, 0.500, 0.500), S at (0.218, 0.000, 0.740) and S at (0.220, 0.500, 0.242).

For the formation energy (no corrections), the calculation gives -1.87 eV per atom. The value obtained for the uncorrected energy is -5.7699 eV per atom. As for the calculated volume: 193.7 Å³/cell.

8.
DyY4Ho4 after structural relaxation, computed with PBE.

The structure belongs to space group C2/m (No. 12); the cell edges are 11.229, 5.012 and 10.641 Å and the angles 90.00°, 108.51° and 90.00°. The asymmetric unit holds Dy at (0.000, 0.000, 0.000), Y at (0.001, 0.000, 0.334), Y at (0.167, 0.500, 0.889), Ho at (0.167, 0.500, 0.223) and Ho at (0.167, 0.500, 0.555).

The value obtained for the uncorrected energy is -5.3945 eV per atom. The energy relative to the elements comes out at 0.02 eV/atom. As for the calculated volume: 567.9 Å³/cell.

Number 1: DOS at the Fermi energy 3.1 states/eV/f.u.. Number 2: DOS at the Fermi energy 1.2 states/eV/f.u.. Number 3: DOS at the Fermi energy 1.2 states/eV/f.u.. Number 4: DOS at the Fermi energy 6.1 states/eV/f.u.. Number 5: DOS at the Fermi energy 2.0 states/eV/f.u.. Number 6: DOS at the Fermi energy 21.7 states/eV/f.u.. Number 7: DOS at the Fermi energy 2.8 states/eV/f.u.. Number 8: DOS at the Fermi energy 13.6 states/eV/f.u..